Arrangement 1

Zn2Cu2Pt: relaxed, PBE.

The space group is P4/mbm (No. 127) and the conventional cell measures 6.979, 6.979 and 2.793 Å, with angles of 90.00, 90.00 and 90.00 degrees. The asymmetric unit holds Zn at (0.173, 0.327, 0.000), Cu at (0.125, 0.625, 0.500) and Pt at (0.000, 0.000, 0.500).

The calculated volume comes out at 136.1 Å³/cell.

Arrangement 2

Zn2Cu2Pt: relaxed, PBE.

The space group is Cmcm (No. 63) and the conventional cell measures 13.135, 4.748 and 4.399 Å, with angles of 90.00, 90.00 and 90.00 degrees. The asymmetric unit holds Zn at (0.198, 0.168, 0.250), Cu at (0.101, 0.338, 0.750) and Pt at (0.000, 0.173, 0.250).

The calculated volume comes out at 274.3 Å³/cell.

The relative energies come out as arrangement 1 7; arrangement 2 0, with values in meV/atom.

Arrangement 1

Zn2Cu2Pt: relaxed, PBE.

The space group is C2/m (No. 12) and the conventional cell measures 7.241, 4.811 and 4.737 Å, with angles of 90.00, 115.21 and 90.00 degrees. The asymmetric unit holds Zn at (0.111, 0.000, 0.353), Cu at (0.250, 0.250, 0.000) and Pt at (0.000, 0.500, 0.500).

The calculated volume comes out at 149.3 Å³/cell.

Arrangement 2

Zn2Cu2Pt: relaxed, PBE.

The space group is P4/mbm (No. 127) and the conventional cell measures 6.945, 6.945 and 2.829 Å, with angles of 90.00, 90.00 and 90.00 degrees. The asymmetric unit holds Zn at (0.137, 0.363, 0.000), Cu at (0.161, 0.661, 0.500) and Pt at (0.000, 0.000, 0.000).

The calculated volume comes out at 136.5 Å³/cell.

The relative energies come out as arrangement 1 0; arrangement 2 24, with values in meV/atom.

Arrangement 1

ZnCuPt: relaxed, PBE.

The space group is P3m1 (No. 156) and the conventional cell measures 4.1775, 4.1775 and 2.7616 Å, with angles of 90.00, 90.00 and 120.00 degrees. The asymmetric unit holds Zn at (0.0000, 0.0000, 0.0000), Cu at (0.3333, 0.6667, 0.0851) and Pt at (0.6667, 0.3333, 0.5474).

The calculated volume comes out at 41.7 Å³/cell.

Arrangement 2

ZnCuPt: relaxed, PBE.

The space group is P3m1 (No. 156) and the conventional cell measures 2.7858, 2.7858 and 6.3232 Å, with angles of 90.00, 90.00 and 120.00 degrees. The asymmetric unit holds Zn at (0.0000, 0.0000, 0.0000), Cu at (0.6667, 0.3333, 0.3185) and Pt at (0.3333, 0.6667, 0.6611).

The calculated volume comes out at 42.5 Å³/cell.

The relative energies come out as arrangement 1 0; arrangement 2 116, with values in meV/atom.

Arrangement 1

ZnCuPt4: relaxed, PBE.

The space group is P4/mmm (No. 123) and the conventional cell measures 2.783, 2.783 and 11.428 Å, with angles of 90.00, 90.00 and 90.00 degrees. The asymmetric unit holds Zn at (0.000, 0.000, 0.000), Cu at (0.500, 0.500, 0.500), Pt at (0.000, 0.000, 0.342) and Pt at (0.500, 0.500, 0.161).

The calculated volume comes out at 88.5 Å³/cell.

Arrangement 2

ZnCuPt4: relaxed, PBE.

The space group is F-43m (No. 216) and the conventional cell measures 7.410, 7.410 and 7.410 Å, with angles of 90.00, 90.00 and 90.00 degrees. The asymmetric unit holds Zn at (0.000, 0.000, 0.000), Cu at (0.250, 0.250, 0.750) and Pt at (0.125, 0.125, 0.375).

The calculated volume comes out at 406.9 Å³/cell.

Arrangement 3

ZnCuPt4: relaxed, PBE.

The space group is Fddd (No. 70, origin choice 2) and the conventional cell measures 8.275, 8.290 and 11.615 Å, with angles of 90.00, 90.00 and 90.00 degrees. The asymmetric unit holds Zn at (0.125, 0.125, 0.125), Cu at (0.125, 0.125, 0.625) and Pt at (0.124, 0.374, 0.750).

The calculated volume comes out at 796.8 Å³/cell.

The relative energies come out as arrangement 1 0; arrangement 2 348; arrangement 3 302, with values in meV/atom.

Arrangement 1

ZnCu2Pt6: relaxed, PBE.

The space group is C2/m (No. 12) and the conventional cell measures 12.946, 5.867 and 4.117 Å, with angles of 90.00, 108.26 and 90.00 degrees. The asymmetric unit holds Zn at (0.000, 0.000, 0.000), Cu at (0.166, 0.500, 0.667), Pt at (0.000, 0.252, 0.500) and Pt at (0.168, 0.252, 0.169).

The calculated volume comes out at 297.0 Å³/cell.

Arrangement 2

ZnCu2Pt6: relaxed, PBE.

The space group is P4_2/mnm (No. 136) and the conventional cell measures 8.202, 8.202 and 3.934 Å, with angles of 90.00, 90.00 and 90.00 degrees. The asymmetric unit holds Zn at (0.000, 0.000, 0.000), Cu at (0.173, 0.173, 0.500), Pt at (0.004, 0.327, 0.000) and Pt at (0.158, 0.842, 0.500).

The calculated volume comes out at 264.7 Å³/cell.

The relative energies come out as arrangement 1 329; arrangement 2 0, with values in meV/atom.

Arrangement 1

Zn3CuPt: relaxed, PBE.

The space group is Pm-3m (No. 221) and the conventional cell measures 4.802, 4.802 and 4.802 Å, with angles of 90.00, 90.00 and 90.00 degrees. The asymmetric unit holds Zn at (0.000, 0.000, 0.500), Cu at (0.500, 0.500, 0.500) and Pt at (0.000, 0.000, 0.000).

The calculated volume comes out at 110.7 Å³/cell.

Arrangement 2

Zn3CuPt: relaxed, PBE.

The space group is P-1 (No. 2) and the conventional cell measures 4.637, 4.672 and 7.226 Å, with angles of 71.16, 84.18 and 71.82 degrees. The asymmetric unit holds Zn at (0.249, 0.250, 0.000), Zn at (0.250, 0.051, 0.397), Zn at (0.250, 0.449, 0.601), Cu at (0.250, 0.850, 0.799) and Pt at (0.251, 0.649, 0.201).

The calculated volume comes out at 140.8 Å³/cell.

The relative energies come out as arrangement 1 605; arrangement 2 0, with values in meV/atom.